(1)
DFT (PBE) results for a relaxed structure of DyCdAgBi.

The structure belongs to space group F-43m (No. 216); the cell edges are 7.399, 7.399 and 7.399 Å and the angles 90.00°, 90.00° and 90.00°. Symmetry generates all atoms from Dy at (0.000, 0.000, 0.000), Cd at (0.000, 0.000, 0.500), Ag at (0.250, 0.250, 0.750) and Bi at (0.250, 0.250, 0.250).

The calculation puts the total DFT energy (no corrections) at -3.241 eV/atom.


(2)
DFT (PBE) results for a relaxed structure of Cs3K5Cl12.

The structure belongs to space group Ia-3d (No. 230); the cell edges are 19.149, 19.149 and 19.149 Å and the angles 90.00°, 90.00° and 90.00°. Symmetry generates all atoms from Cs at (0.000, 0.250, 0.125), K at (0.000, 0.000, 0.000), K at (0.000, 0.250, 0.375) and Cl at (0.052, 0.083, 0.635).

For the uncorrected formation energy, the calculation gives -1.35 eV per atom.


(3)
DFT (PBE) results for a relaxed structure of Tb2DyY2Tm.

The structure belongs to space group Pnnm (No. 58); the cell edges are 6.610, 17.590 and 3.360 Å and the angles 90.00°, 90.00° and 90.00°. Symmetry generates all atoms from Tb at (0.240, 0.178, 0.000), Dy at (0.000, 0.500, 0.000), Y at (0.236, 0.350, 0.500) and Tm at (0.000, 0.000, 0.000).

The calculation puts the total DFT energy (no corrections) at -4.920 eV/atom.


Which Fermi-level density of states belongs to each record? In order, 10.5 134.4 19.9 states/eV per cell.